1.
5
Lattice="4.6694 0.0000 0.0000 0.0000 5.7136 0.0000 0.0000 0.0000 4.6694" Properties=species:S:1:pos:R:3 comment="PBE KCdRe2Se, relaxed" energy_ev_per_atom=-4.623 e_form_raw_ev_per_atom=1.46 vol_a3_per_atom=24.915 pbc="T T T"
Re 0.0000 0.0000 2.3347
Re 2.3347 0.0000 0.0000
K 2.3347 2.8568 2.3347
Se 0.0000 0.0000 0.0000
Cd 0.0000 2.8568 0.0000

2.
5
Lattice="-1.1731 -0.7925 -6.3699 2.8008 -3.7333 -0.0513 -5.0864 -3.8353 1.4138" Properties=species:S:1:pos:R:3 comment="PBE K2TaCdRe, relaxed" energy_ev_per_atom=-4.061 vol_a3_per_atom=39.747 pbc="T T T"
Re 0.0000 0.0000 0.0000
K -2.5432 -1.9177 0.7069
K -0.5865 -0.3962 -3.1850
Cd -1.7293 -4.1805 -2.5037
Ta 1.4004 -1.8667 -0.0257